# P3PbSe

A relaxed structure of P3PbSe (PBE-GGA, Alexandria).

Structure (extended XYZ):
```
10
Lattice="5.0926 0.0000 0.0000 0.0000 5.5356 0.4626 0.0000 2.1700 9.8167" Properties=species:S:1:pos:R:3 pbc="T T T"
P 3.8194 6.4913 5.4979
P 4.8933 6.6860 10.0687
P 1.2731 1.2143 4.7813
P 0.1993 1.0195 0.2105
P 2.3470 1.0195 0.2105
P 2.7456 6.6860 10.0687
Pb 3.8194 2.4093 2.4463
Pb 1.2731 5.2962 7.8329
Se 3.8194 4.4166 6.3066
Se 1.2731 3.2890 3.9726
```

Results
ΔE_f (raw) in eV/atom: 0.13
Energy above the lowest structure with this stoichiometry in meV per atom: 0.0
Calculated total energy in eV/atom: -4.56



# Er4ScBi2

A relaxed structure of Er4ScBi2 (PBE-GGA, Alexandria).

Structure (extended XYZ):
```
7
Lattice="5.1625 0.0000 0.0000 0.0000 5.1625 0.0000 -2.5813 -2.5813 8.2906" Properties=species:S:1:pos:R:3 pbc="T T T"
Er 2.5813 0.0000 0.0000
Er 2.5813 2.5813 5.3353
Er 0.0000 0.0000 2.9553
Er 0.0000 2.5813 0.0000
Bi 0.0000 0.0000 6.0197
Bi 2.5813 2.5813 2.2709
Sc 0.0000 0.0000 0.0000
```

Results
Formation energy from the elements in eV/atom: 0.2042
Calculated total energy in eV/atom: -4.42



# PmSi3Ir

A relaxed structure of PmSi3Ir (PBE-GGA, Alexandria).

Structure (extended XYZ):
```
5
Lattice="3.9341 0.0000 -1.5852 -0.6388 3.8819 -1.5852 0.0371 0.0437 5.7662" Properties=species:S:1:pos:R:3 pbc="T T T"
Si 0.5670 2.9851 1.4072
Si 2.8535 1.0442 1.4072
Si 1.3927 1.6406 3.4563
Pm 3.3256 3.9175 2.5788
Ir 2.1625 2.5475 -0.3075
```

Results
ΔE_f (raw) in eV/atom: -0.81
Energy above the lowest structure with this stoichiometry in meV per atom: 0.0
Calculated total energy in eV/atom: -6.79



# CdTcPb2

A relaxed structure of CdTcPb2 (PBE-GGA, Alexandria).

Structure (extended XYZ):
```
4
Lattice="-5.1631 -0.7230 5.4981 0.0258 -2.6901 7.0833 2.0780 4.4952 -5.7345" Properties=species:S:1:pos:R:3 pbc="T T T"
Tc -2.8268 1.0328 3.0272
Pb -4.7305 -3.1428 11.5852
Pb -2.9754 -1.9768 7.2869
Cd -0.2324 0.0493 3.8197
```

Results
Formation energy from the elements in eV/atom: 0.3880
Calculated total energy in eV/atom: -4.29



# Dy7Sn2Sb2

A relaxed structure of Dy7Sn2Sb2 (PBE-GGA, Alexandria).

Structure (extended XYZ):
```
11
Lattice="6.9549 -0.0028 -0.6082 0.0033 7.2552 0.0031 -1.0404 -0.0026 6.9035" Properties=species:S:1:pos:R:3 pbc="T T T"
Sn 4.8489 3.6232 5.1609
Sn 1.0689 3.6266 1.1375
Dy 3.4758 2.0176 -0.3016
Dy 2.9563 1.9154 3.1502
Dy 2.9615 5.3345 3.1482
Dy 2.4420 5.2322 6.5999
Dy -0.5160 5.2349 3.4515
Dy 6.4338 2.0149 2.8468
Dy 0.0000 0.0000 0.0000
Sb 4.7235 7.2523 1.4944
Sb 1.1943 -0.0025 4.8039
```

Results
ΔE_f (raw) in eV/atom: -0.40
Calculated total energy in eV/atom: -4.81



# TcAu3

A relaxed structure of TcAu3 (PBE-GGA, Alexandria).

Structure (extended XYZ):
```
16
Lattice="4.8376 0.0000 0.0000 0.0000 9.6326 0.0000 0.0000 0.0000 5.8973" Properties=species:S:1:pos:R:3 pbc="T T T"
Au 2.0842 2.4081 3.7066
Au 2.7534 7.2244 2.1907
Au 1.2430 4.8445 5.1783
Au 1.1757 4.7881 2.2297
Au 3.6618 4.8445 3.6677
Au 1.1757 0.0282 2.2297
Au 1.2430 9.6044 5.1783
Au 3.5945 0.0282 0.7190
Au 3.5945 4.7881 0.7190
Au 0.3346 7.2244 0.7580
Au 3.6618 9.6044 3.6677
Au 4.5030 2.4081 5.1393
Tc 2.0681 2.4081 0.8782
Tc 0.3507 7.2244 3.8268
Tc 4.4869 2.4081 2.0705
Tc 2.7694 7.2244 5.0191
```

Results
Formation energy from the elements in eV/atom: 0.2977
Calculated total energy in eV/atom: -4.75



# Hg2BiO4

A relaxed structure of Hg2BiO4 (PBE-GGA, Alexandria).

Structure (extended XYZ):
```
7
Lattice="-1.9124 -0.4548 3.0492 -1.4201 -5.0425 -1.6428 6.6541 0.8501 2.1419" Properties=species:S:1:pos:R:3 pbc="T T T"
Bi 0.0000 0.0000 0.0000
O -0.6738 -1.5877 1.4989
O 2.9163 -0.0156 3.9849
O 0.4053 -4.6316 -0.4366
O 3.9953 -3.0595 2.0495
Hg 0.2410 -3.4507 1.7947
Hg 3.0806 -1.1965 1.7536
```

Results
ΔE_f (raw) in eV/atom: -0.57
Calculated total energy in eV/atom: -4.05



# ZnSn3Ge

A relaxed structure of ZnSn3Ge (PBE-GGA, Alexandria).

Structure (extended XYZ):
```
5
Lattice="-4.3032 -1.6333 -2.4135 2.4865 0.1871 -4.5599 1.5199 -4.9303 0.6265" Properties=species:S:1:pos:R:3 pbc="T T T"
Zn 0.0000 0.0000 0.0000
Sn 1.2432 0.0936 -2.2799
Sn -2.1516 -0.8166 -1.2068
Sn 0.7599 -2.4651 0.3132
Ge -0.1484 -3.1882 -3.1735
```

Results
Formation energy from the elements in eV/atom: 0.5087
Energy above the lowest structure with this stoichiometry in meV per atom: 0.0
Calculated total energy in eV/atom: -3.07